{
  "formula": "BeFeIO2",
  "functional": "GGA+U",
  "state": "relaxed",
  "crystal_system": "tetragonal",
  "dft_energy_ev_per_atom": -4.353,
  "n_ef_per_ev_fu": 1.36,
  "cell": [[3.702, 0.000, 0.000], [0.000, 3.702, 0.000], [0.000, 0.000, 5.433]],
  "species": ["Be", "O", "O", "I", "Fe"],
  "fractional_positions": [[0.000, 0.000, 0.000], [0.000, 0.500, 0.000], [0.500, 0.000, 0.000], [0.000, 0.000, 0.500], [0.500, 0.500, 0.500]]
}